(1)
# PBE MgBe2PW, relaxed
data_MgBe2PW
_space_group_name_H-M_alt 'P 1'
_space_group_IT_number 1
_cell_length_a 4.439
_cell_length_b 4.439
_cell_length_c 4.551
_cell_angle_alpha 90.00
_cell_angle_beta 90.00
_cell_angle_gamma 90.00
loop_
_space_group_symop_operation_xyz
'x,y,z'
loop_
_atom_site_label
_atom_site_type_symbol
_atom_site_fract_x
_atom_site_fract_y
_atom_site_fract_z
Mg1 Mg 0.000 0.000 0.000
Be1 Be 0.000 0.500 0.500
Be2 Be 0.500 0.000 0.500
P1 P 0.500 0.500 0.000
W1 W 0.500 0.500 0.500
# Calculated volume = 89.69 Å³/cell
# DOS at the Fermi energy = 1.469 states/eV per cell
# Energy = -4.825 eV per atom
# Magnetization = 0.000 μB per formula unit
# DFT formation energy = 0.657 eV/atom
# Space group = P4/mmm, No. 123

(2)
# PBE Y2MgBeP, relaxed
data_Y2MgBeP
_space_group_name_H-M_alt 'P 1'
_space_group_IT_number 1
_cell_length_a 5.431
_cell_length_b 5.431
_cell_length_c 4.286
_cell_angle_alpha 90.00
_cell_angle_beta 90.00
_cell_angle_gamma 90.00
loop_
_space_group_symop_operation_xyz
'x,y,z'
loop_
_atom_site_label
_atom_site_type_symbol
_atom_site_fract_x
_atom_site_fract_y
_atom_site_fract_z
Y1 Y 0.000 0.500 0.000
Y2 Y 0.500 0.000 0.000
Mg1 Mg 0.000 0.000 0.000
Be1 Be 0.000 0.000 0.500
P1 P 0.500 0.500 0.500
# Calculated volume = 126.41 Å³/cell
# DOS at the Fermi energy = 2.934 states/eV per cell
# Energy = -4.089 eV per atom
# Magnetization = 0.000 μB per formula unit
# DFT formation energy = 0.643 eV/atom
# Space group = P4/mmm, No. 123

(3)
# PBE MgBeZnP2, relaxed
data_MgBeZnP2
_space_group_name_H-M_alt 'P 1'
_space_group_IT_number 1
_cell_length_a 4.772
_cell_length_b 4.772
_cell_length_c 4.606
_cell_angle_alpha 90.00
_cell_angle_beta 90.00
_cell_angle_gamma 90.00
loop_
_space_group_symop_operation_xyz
'x,y,z'
loop_
_atom_site_label
_atom_site_type_symbol
_atom_site_fract_x
_atom_site_fract_y
_atom_site_fract_z
Mg1 Mg 0.000 0.000 0.000
Be1 Be 0.000 0.000 0.500
Zn1 Zn 0.500 0.500 0.500
P1 P 0.000 0.500 0.000
P2 P 0.500 0.000 0.000
# Calculated volume = 104.88 Å³/cell
# DOS at the Fermi energy = 2.054 states/eV per cell
# Energy = -2.334 eV per atom
# Magnetization = 0.000 μB per formula unit
# DFT formation energy = 1.149 eV/atom
# Space group = P4/mmm, No. 123

(4)
# PBE MgPaBe17, relaxed
data_MgPaBe17
_space_group_name_H-M_alt 'P 1'
_space_group_IT_number 1
_cell_length_a 5.780
_cell_length_b 5.780
_cell_length_c 5.780
_cell_angle_alpha 83.28
_cell_angle_beta 83.28
_cell_angle_gamma 83.28
loop_
_space_group_symop_operation_xyz
'x,y,z'
loop_
_atom_site_label
_atom_site_type_symbol
_atom_site_fract_x
_atom_site_fract_y
_atom_site_fract_z
Mg1 Mg 0.000 0.000 0.000
Pa1 Pa 0.687 0.687 0.687
Be1 Be 0.005 0.005 0.491
Be2 Be 0.005 0.491 0.005
Be3 Be 0.061 0.339 0.625
Be4 Be 0.061 0.625 0.339
Be5 Be 0.187 0.683 0.683
Be6 Be 0.246 0.246 0.246
Be7 Be 0.339 0.061 0.625
Be8 Be 0.339 0.625 0.061
Be9 Be 0.348 0.348 0.838
Be10 Be 0.348 0.838 0.348
Be11 Be 0.439 0.439 0.439
Be12 Be 0.491 0.005 0.005
Be13 Be 0.625 0.061 0.339
Be14 Be 0.625 0.339 0.061
Be15 Be 0.683 0.187 0.683
Be16 Be 0.683 0.683 0.187
Be17 Be 0.838 0.348 0.348
# Calculated volume = 189.40 Å³/cell
# DOS at the Fermi energy = 6.503 states/eV per cell
# Energy = -3.915 eV per atom
# Magnetization = 0.000 μB per formula unit
# DFT formation energy = 0.003 eV/atom
# Space group = R3m, No. 160

(5)
# PBE MgBePb2, relaxed
data_MgBePb2
_space_group_name_H-M_alt 'P 1'
_space_group_IT_number 1
_cell_length_a 4.114
_cell_length_b 4.270
_cell_length_c 5.723
_cell_angle_alpha 90.00
_cell_angle_beta 110.65
_cell_angle_gamma 90.00
loop_
_space_group_symop_operation_xyz
'x,y,z'
loop_
_atom_site_label
_atom_site_type_symbol
_atom_site_fract_x
_atom_site_fract_y
_atom_site_fract_z
Mg1 Mg 0.000 0.000 0.000
Be1 Be 0.837 0.500 0.695
Pb1 Pb 0.290 0.000 0.575
Pb2 Pb 0.581 0.500 0.165
# Calculated volume = 94.06 Å³/cell
# DOS at the Fermi energy = 2.422 states/eV per cell
# Energy = -2.844 eV per atom
# Magnetization = 0.000 μB per formula unit
# DFT formation energy = 0.341 eV/atom
# E above lowest polymorph = 22 meV per atom
# Space group = Pm, No. 6

(6)
# PBE MgBe2Pb, relaxed
data_MgBe2Pb
_space_group_name_H-M_alt 'P 1'
_space_group_IT_number 1
_cell_length_a 4.960
_cell_length_b 4.960
_cell_length_c 4.960
_cell_angle_alpha 130.43
_cell_angle_beta 130.43
_cell_angle_gamma 72.72
loop_
_space_group_symop_operation_xyz
'x,y,z'
loop_
_atom_site_label
_atom_site_type_symbol
_atom_site_fract_x
_atom_site_fract_y
_atom_site_fract_z
Mg1 Mg 0.000 0.000 0.000
Be1 Be 0.250 0.750 0.500
Be2 Be 0.750 0.250 0.500
Pb1 Pb 0.500 0.500 0.000
# Calculated volume = 69.06 Å³/cell
# DOS at the Fermi energy = 1.006 states/eV per cell
# Energy = -2.574 eV per atom
# Magnetization = 0.000 μB per formula unit
# DFT formation energy = 0.615 eV/atom
# E above lowest polymorph = 328 meV per atom
# Space group = I4/mmm, No. 139

(7)
# PBE MgBePb2, relaxed
data_MgBePb2
_space_group_name_H-M_alt 'P 1'
_space_group_IT_number 1
_cell_length_a 9.204
_cell_length_b 9.204
_cell_length_c 9.204
_cell_angle_alpha 22.26
_cell_angle_beta 22.26
_cell_angle_gamma 22.26
loop_
_space_group_symop_operation_xyz
'x,y,z'
loop_
_atom_site_label
_atom_site_type_symbol
_atom_site_fract_x
_atom_site_fract_y
_atom_site_fract_z
Mg1 Mg 0.000 0.000 0.000
Be1 Be 0.269 0.269 0.269
Pb1 Pb 0.536 0.536 0.536
Pb2 Pb 0.766 0.766 0.766
# Calculated volume = 98.07 Å³/cell
# DOS at the Fermi energy = 2.137 states/eV per cell
# Energy = -2.815 eV per atom
# Magnetization = 0.000 μB per formula unit
# DFT formation energy = 0.369 eV/atom
# E above lowest polymorph = 51 meV per atom
# Space group = R3m, No. 160

(8)
# PBE MgBe2Pb, relaxed
data_MgBe2Pb
_space_group_name_H-M_alt 'P 1'
_space_group_IT_number 1
_cell_length_a 4.800
_cell_length_b 4.800
_cell_length_c 3.252
_cell_angle_alpha 90.00
_cell_angle_beta 90.00
_cell_angle_gamma 108.32
loop_
_space_group_symop_operation_xyz
'x,y,z'
loop_
_atom_site_label
_atom_site_type_symbol
_atom_site_fract_x
_atom_site_fract_y
_atom_site_fract_z
Mg1 Mg 0.000 0.000 0.000
Be1 Be 0.000 0.500 0.500
Be2 Be 0.500 0.000 0.500
Pb1 Pb 0.500 0.500 0.000
# Calculated volume = 71.11 Å³/cell
# DOS at the Fermi energy = 1.473 states/eV per cell
# Energy = -2.555 eV per atom
# Magnetization = 0.000 μB per formula unit
# DFT formation energy = 0.634 eV/atom
# E above lowest polymorph = 347 meV per atom
# Space group = Cmmm, No. 65

(9)
# PBE MgBePb2, relaxed
data_MgBePb2
_space_group_name_H-M_alt 'P 1'
_space_group_IT_number 1
_cell_length_a 7.343
_cell_length_b 7.343
_cell_length_c 7.343
_cell_angle_alpha 31.74
_cell_angle_beta 31.74
_cell_angle_gamma 31.74
loop_
_space_group_symop_operation_xyz
'x,y,z'
loop_
_atom_site_label
_atom_site_type_symbol
_atom_site_fract_x
_atom_site_fract_y
_atom_site_fract_z
Mg1 Mg 0.000 0.000 0.000
Be1 Be 0.500 0.500 0.500
Pb1 Pb 0.231 0.231 0.231
Pb2 Pb 0.769 0.769 0.769
# Calculated volume = 97.28 Å³/cell
# DOS at the Fermi energy = 1.351 states/eV per cell
# Energy = -2.832 eV per atom
# Magnetization = 0.000 μB per formula unit
# DFT formation energy = 0.352 eV/atom
# E above lowest polymorph = 34 meV per atom
# Space group = R-3m, No. 166

(10)
# PBE MgBePb2, relaxed
data_MgBePb2
_space_group_name_H-M_alt 'P 1'
_space_group_IT_number 1
_cell_length_a 6.803
_cell_length_b 6.803
_cell_length_c 6.803
_cell_angle_alpha 98.20
_cell_angle_beta 98.20
_cell_angle_gamma 135.63
loop_
_space_group_symop_operation_xyz
'x,y,z'
loop_
_atom_site_label
_atom_site_type_symbol
_atom_site_fract_x
_atom_site_fract_y
_atom_site_fract_z
Mg1 Mg 0.000 0.000 0.000
Mg2 Mg 0.750 0.250 0.500
Be1 Be 0.250 0.750 0.500
Be2 Be 0.500 0.500 0.000
Pb1 Pb 0.235 0.625 0.110
Pb2 Pb 0.375 0.485 0.610
Pb3 Pb 0.515 0.125 0.890
Pb4 Pb 0.875 0.765 0.390
# Calculated volume = 203.89 Å³/cell
# DOS at the Fermi energy = 1.833 states/eV per cell
# Energy = -2.866 eV per atom
# Magnetization = 0.000 μB per formula unit
# DFT formation energy = 0.318 eV/atom
# E above lowest polymorph = 0 meV per atom
# Space group = I-42d, No. 122

Among the records above, which one has the highest DOS at the Fermi energy? MgPaBe17

energy of number 7 (MgBePb2)? -2.815 eV per atom